[1]
# CuHgBr2 (PBE, optimized geometry)
# Total magnetic moment, μB/atom: 0.000
# Volume, Å³/cell: 95
# ΔE_f (raw), eV per atom: 0.223
# Crystal system: cubic
# Distance to the lowest polymorph of the same formula, meV/atom: 437
data_CuHgBr2
_chemical_formula_sum 'Cu1 Hg1 Br2'
_symmetry_space_group_name_H-M 'P 1'
_symmetry_Int_Tables_number 1
_symmetry_space_group_name_Hall 'P 1'
_cell_length_a 5.118
_cell_length_b 5.118
_cell_length_c 5.118
_cell_angle_alpha 60.00
_cell_angle_beta 60.00
_cell_angle_gamma 60.00
loop_
_atom_site_label
_atom_site_type_symbol
_atom_site_fract_x
_atom_site_fract_y
_atom_site_fract_z
_atom_site_occupancy
Cu1 Cu 0.000 0.000 0.000 1
Hg1 Hg 0.500 0.500 0.500 1
Br1 Br 0.250 0.250 0.250 1
Br2 Br 0.750 0.750 0.750 1

***

[2]
# CuHgBr2 (PBE, optimized geometry)
# Total magnetic moment, μB/atom: 0.000
# Volume, Å³/cell: 100
# ΔE_f (raw), eV per atom: -0.156
# Crystal system: trigonal
# Distance to the lowest polymorph of the same formula, meV/atom: 57
data_CuHgBr2
_chemical_formula_sum 'Cu1 Hg1 Br2'
_symmetry_space_group_name_H-M 'P 1'
_symmetry_Int_Tables_number 1
_symmetry_space_group_name_Hall 'P 1'
_cell_length_a 7.993
_cell_length_b 7.993
_cell_length_c 7.993
_cell_angle_alpha 28.04
_cell_angle_beta 28.04
_cell_angle_gamma 28.04
loop_
_atom_site_label
_atom_site_type_symbol
_atom_site_fract_x
_atom_site_fract_y
_atom_site_fract_z
_atom_site_occupancy
Cu1 Cu 0.000 0.000 0.000 1
Hg1 Hg 0.500 0.500 0.500 1
Br1 Br 0.271 0.271 0.271 1
Br2 Br 0.729 0.729 0.729 1